Material: HfIn2Tc
Method: DFT, PBE
State: relaxed

Values from the calculation:
**ρ**: 10.9 g/cm3
**Calculated total energy**: -6.265 eV/atom

Lattice parameters (Å, degrees): 4.777 4.777 4.777 60.00 60.00 60.00
Fractional positions:
Hf (0.250, 0.250, 0.250)
Tc (0.000, 0.000, 0.000)
In (0.750, 0.750, 0.750)
In (0.500, 0.500, 0.500)

***

Material: Nd2Dy2CIBr4
Method: DFT, PBE
State: relaxed

Values from the calculation:
**ρ**: 5.8 g/cm3
**Calculated total energy**: -4.990 eV/atom

Lattice parameters (Å, degrees): 9.227 9.227 8.833 102.85 102.85 24.73
Fractional positions:
Br (0.826, 0.826, 0.146)
Br (0.169, 0.169, 0.309)
Br (0.174, 0.174, 0.854)
Br (0.831, 0.831, 0.691)
Dy (0.363, 0.363, 0.932)
Dy (0.637, 0.637, 0.068)
Nd (0.001, 0.001, 0.805)
Nd (0.999, 0.999, 0.195)
I (0.500, 0.500, 0.500)
C (0.500, 0.500, 0.000)

***

Material: BeTcW
Method: DFT, PBE
State: relaxed

Values from the calculation:
**ρ**: 9.9 g/cm3
**Calculated total energy**: -8.168 eV/atom

Lattice parameters (Å, degrees): 4.108 4.108 4.108 60.00 60.00 60.00
Fractional positions:
Be (0.250, 0.250, 0.250)
W (0.000, 0.000, 0.000)
Tc (0.750, 0.750, 0.750)

***

Material: CoCuTcAg
Method: DFT, PBE
State: relaxed

Values from the calculation:
**ρ**: 10.0 g/cm3
**Calculated formation energy**: 0.5078 eV/atom

Lattice parameters (Å, degrees): 4.255 4.255 4.255 60.00 60.00 60.00
Fractional positions:
Ag (0.000, 0.000, 0.000)
Cu (0.750, 0.750, 0.750)
Tc (0.500, 0.500, 0.500)
Co (0.250, 0.250, 0.250)

***

no.,size of the total moment (μB per cell)
1,0.30
2,0.02
3,0.00
4,3.00